# PBE Co2ReAg, relaxed
data_Co2ReAg
_symmetry_space_group_name_H-M 'C 1 2/m 1'
_symmetry_Int_Tables_number 12
_cell_length_a 8.474
_cell_length_b 2.652
_cell_length_c 4.959
_cell_angle_alpha 90.00
_cell_angle_beta 98.31
_cell_angle_gamma 90.00
loop_
_symmetry_equiv_pos_as_xyz
'x,y,z'
'-x,-y,-z'
'-x,y,-z'
'x,-y,z'
'x+1/2,y+1/2,z'
'-x+1/2,-y+1/2,-z'
'-x+1/2,y+1/2,-z'
'x+1/2,-y+1/2,z'
loop_
_atom_site_label
_atom_site_type_symbol
_atom_site_fract_x
_atom_site_fract_y
_atom_site_fract_z
_atom_site_occupancy
Co1 Co 0.244 0.000 0.207 1
Re1 Re 0.000 0.500 0.000 1
Ag1 Ag 0.000 0.000 0.500 1
# size of the total moment: 2.07 μB/f.u.
# calculated formation energy: 0.44 eV/atom


# PBE CoReAg2, relaxed
data_CoReAg2
_symmetry_space_group_name_H-M 'P 4/m m m'
_symmetry_Int_Tables_number 123
_symmetry_space_group_name_Hall '-P 4 2'
_cell_length_a 2.653
_cell_length_b 2.653
_cell_length_c 8.719
_cell_angle_alpha 90.00
_cell_angle_beta 90.00
_cell_angle_gamma 90.00
loop_
_atom_site_label
_atom_site_type_symbol
_atom_site_fract_x
_atom_site_fract_y
_atom_site_fract_z
_atom_site_occupancy
Co1 Co 0.000 0.000 0.000 1
Re1 Re 0.000 0.000 0.500 1
Ag1 Ag 0.500 0.500 0.237 1
# size of the total moment: 2.01 μB/f.u.
# calculated formation energy: 0.63 eV/atom


# PBE Co2ReAg, relaxed
data_Co2ReAg
_symmetry_space_group_name_H-M 'P 4/m m m'
_symmetry_Int_Tables_number 123
_symmetry_space_group_name_Hall '-P 4 2'
_cell_length_a 4.478
_cell_length_b 4.478
_cell_length_c 2.705
_cell_angle_alpha 90.00
_cell_angle_beta 90.00
_cell_angle_gamma 90.00
loop_
_atom_site_label
_atom_site_type_symbol
_atom_site_fract_x
_atom_site_fract_y
_atom_site_fract_z
_atom_site_occupancy
Co1 Co 0.000 0.500 0.000 1
Re1 Re 0.000 0.000 0.500 1
Ag1 Ag 0.500 0.500 0.500 1
# size of the total moment: 2.93 μB/f.u.
# calculated formation energy: 0.51 eV/atom


# PBE CoReAg2, relaxed
data_CoReAg2
_symmetry_space_group_name_H-M 'C m m m'
_symmetry_Int_Tables_number 65
_symmetry_space_group_name_Hall '-C 2 2'
_cell_length_a 2.793
_cell_length_b 4.612
_cell_length_c 9.713
_cell_angle_alpha 90.00
_cell_angle_beta 90.00
_cell_angle_gamma 90.00
loop_
_atom_site_label
_atom_site_type_symbol
_atom_site_fract_x
_atom_site_fract_y
_atom_site_fract_z
_atom_site_occupancy
Co1 Co 0.000 0.000 0.000 1
Re1 Re 0.000 0.000 0.500 1
Ag1 Ag 0.000 0.500 0.239 1
# size of the total moment: 1.93 μB/f.u.
# calculated formation energy: 0.62 eV/atom


# PBE Co2ReAg, relaxed
data_Co2ReAg
_symmetry_space_group_name_H-M 'P 4/m m m'
_symmetry_Int_Tables_number 123
_symmetry_space_group_name_Hall '-P 4 2'
_cell_length_a 2.700
_cell_length_b 2.700
_cell_length_c 7.363
_cell_angle_alpha 90.00
_cell_angle_beta 90.00
_cell_angle_gamma 90.00
loop_
_atom_site_label
_atom_site_type_symbol
_atom_site_fract_x
_atom_site_fract_y
_atom_site_fract_z
_atom_site_occupancy
Co1 Co 0.000 0.000 0.228 1
Re1 Re 0.500 0.500 0.000 1
Ag1 Ag 0.500 0.500 0.500 1
# size of the total moment: 0.00 μB/f.u.
# calculated formation energy: 0.23 eV/atom


# PBE CoReAg2, relaxed
data_CoReAg2
_symmetry_space_group_name_H-M 'C 1 2/m 1'
_symmetry_Int_Tables_number 12
_cell_length_a 9.658
_cell_length_b 2.683
_cell_length_c 4.763
_cell_angle_alpha 90.00
_cell_angle_beta 99.19
_cell_angle_gamma 90.00
loop_
_symmetry_equiv_pos_as_xyz
'x,y,z'
'-x,-y,-z'
'-x,y,-z'
'x,-y,z'
'x+1/2,y+1/2,z'
'-x+1/2,-y+1/2,-z'
'-x+1/2,y+1/2,-z'
'x+1/2,-y+1/2,z'
loop_
_atom_site_label
_atom_site_type_symbol
_atom_site_fract_x
_atom_site_fract_y
_atom_site_fract_z
_atom_site_occupancy
Co1 Co 0.000 0.000 0.000 1
Re1 Re 0.000 0.500 0.500 1
Ag1 Ag 0.247 0.500 0.247 1
# size of the total moment: 2.11 μB/f.u.
# calculated formation energy: 0.62 eV/atom


Quick rundown of DOS(E_F), same order as above: 4.26; 3.54; 5.97; 3.28; 3.42; 4.14 states/eV/f.u.